LaRe2As, optimized geometry, DFT PBE; formation energy = 0.235 eV/atom; calculated volume = 85.92 Å³ per cell; mass density = 11.3 g/cm³
1.0
4.729 -1.864 0.000
4.729 1.864 0.000
-1.270 0.000 4.874
La Re As
1 2 1
Direct
0.000 0.000 0.000 La
0.227 0.227 0.635 Re
0.773 0.773 0.365 Re
0.500 0.500 0.500 As